Computed, not measured: a relaxed TiV2AuC crystal at the PBE-GGA level of DFT.

Values from the calculation:
Final energy, eV/cell: -40.50
Crystal system: tetragonal

a b c (Å): 4.0049 4.0049 4.2075
angles (deg): 90.00 90.00 90.00
Space group P4/mmm (No. 123)
Inequivalent atoms, fractional coordinates:
Ti 0.0000 0.0000 0.0000 x1
V 0.0000 0.5000 0.5000 x2
Au 0.5000 0.5000 0.0000 x1
C 0.0000 0.0000 0.5000 x1

---

Computed, not measured: a relaxed Ti2WAuC crystal at the PBE-GGA level of DFT.

Values from the calculation:
Final energy, eV/cell: -43.02
Crystal system: tetragonal

a b c (Å): 4.2293 4.2293 4.0865
angles (deg): 90.00 90.00 90.00
Space group P4/mmm (No. 123)
Inequivalent atoms, fractional coordinates:
Ti 0.0000 0.5000 0.0000 x2
W 0.0000 0.0000 0.5000 x1
Au 0.5000 0.5000 0.5000 x1
C 0.0000 0.0000 0.0000 x1

---

Computed, not measured: a relaxed Zr2TiAuC crystal at the PBE-GGA level of DFT.

Values from the calculation:
Final energy, eV/cell: -40.33
Crystal system: tetragonal

a b c (Å): 4.5254 4.5254 4.2223
angles (deg): 90.00 90.00 90.00
Space group P4/mmm (No. 123)
Inequivalent atoms, fractional coordinates:
Zr 0.0000 0.5000 0.0000 x2
Ti 0.0000 0.0000 0.5000 x1
Au 0.5000 0.5000 0.5000 x1
C 0.0000 0.0000 0.0000 x1

---

Computed, not measured: a relaxed Tl2AuC crystal at the PBE-GGA level of DFT.

Values from the calculation:
Energy above the most stable polymorph in this dataset, eV per atom: 0.0000
Final energy, eV/cell: -52.48
Crystal system: tetragonal

a b c (Å): 6.2272 6.2272 10.2671
angles (deg): 90.00 90.00 90.00
Space group I-42d (No. 122)
Inequivalent atoms, fractional coordinates:
Tl 0.1690 0.2500 0.1250 x8
Au 0.0000 0.0000 0.5000 x4
C 0.0000 0.0000 0.0000 x4

---

Computed, not measured: a relaxed TlAu3C crystal at the PBE-GGA level of DFT.

Values from the calculation:
Energy above the most stable polymorph in this dataset, eV per atom: 1.4692
Final energy, eV/cell: -10.93
Crystal system: cubic

a b c (Å): 5.3242 5.3242 5.3242
angles (deg): 90.00 90.00 90.00
Space group Pm-3m (No. 221)
Inequivalent atoms, fractional coordinates:
Tl 0.0000 0.0000 0.0000 x1
Au 0.0000 0.0000 0.5000 x3
C 0.5000 0.5000 0.5000 x1

---

Computed, not measured: a relaxed TlAu3C crystal at the PBE-GGA level of DFT.

Values from the calculation:
Energy above the most stable polymorph in this dataset, eV per atom: 0.0000
Final energy, eV/cell: -18.28
Crystal system: cubic

a b c (Å): 4.5168 4.5168 4.5168
angles (deg): 90.00 90.00 90.00
Space group Pm-3m (No. 221)
Inequivalent atoms, fractional coordinates:
Tl 0.0000 0.0000 0.0000 x1
Au 0.0000 0.5000 0.5000 x3
C 0.5000 0.5000 0.5000 x1